Crystalline Li2MgSi at its relaxed geometry, computed with GGA-PBE.

magnetic moment: 0.00 μB per atom
raw total energy: -2.93 eV per atom

Geometry as CIF:
```
data_Li2MgSi
_cell_length_a 12.735
_cell_length_b 12.735
_cell_length_c 12.735
_cell_angle_alpha 90.00
_cell_angle_beta 90.00
_cell_angle_gamma 90.00
_symmetry_space_group_name_H-M 'F m -3 m'
_symmetry_Int_Tables_number 225
_symmetry_space_group_name_Hall '-F 4 2 3'
loop_
_atom_site_label
_atom_site_fract_x
_atom_site_fract_y
_atom_site_fract_z
_atom_site_occupancy
Li1 0.000 0.000 0.215 1
Li2 0.127 0.127 0.127 1
Li3 0.250 0.250 0.250 1
Mg1 0.125 0.125 0.375 1
Si1 0.000 0.000 0.000 1
Si2 0.000 0.000 0.500 1
Si3 0.000 0.250 0.250 1
```